The following is a PBE calculation of LiLaRu after structural relaxation, from Alexandria via LeMat-Bulk.

a = 4.5762 Å, b = 4.5762 Å, c = 3.3110 Å
α = 90.00°, β = 90.00°, γ = 120.00°
With the nearest neighbours (Å) after each atom.
Positions (direct):
Li  0.0000  0.0000  0.0000  6 Ru 2.96-3.30, 6 La 3.10-3.14, 2 Li 3.31
La  0.3333  0.6667  0.4899  3 Ru 2.66
Ru  0.6667  0.3333  0.4038  3 La 2.66, 3 Li 2.96

The calculation puts the density of states at the Fermi level at 0.0132 states/eV per atom. The symmetry is No. 156. Its energy above the most stable polymorph in this dataset is 127.7 meV/atom. The value obtained for the formation energy is 0.053 eV/atom.


The following is a PBE calculation of LiLa3Ru after structural relaxation, from Alexandria via LeMat-Bulk.

a = 5.3405 Å, b = 5.3405 Å, c = 5.3405 Å
α = 84.75°, β = 84.75°, γ = 84.75°
With the nearest neighbours (Å) after each atom.
Positions (direct):
Li  0.0000  0.0000  0.0000  1 Ru 2.54
La  0.0813  0.5742  0.5742  1 Ru 2.59
La  0.5742  0.0813  0.5742  1 Ru 2.59
La  0.5742  0.5742  0.0813  1 Ru 2.59
Ru  0.2523  0.2523  0.2523  1 Li 2.54, 3 La 2.59

The calculation puts the density of states at the Fermi level at 1.4625 states/eV per atom. The symmetry is No. 160. Its energy above the most stable polymorph in this dataset is 189.1 meV/atom. The value obtained for the formation energy is 0.023 eV/atom.


The following is a PBE calculation of LiLa2Ru2 after structural relaxation, from Alexandria via LeMat-Bulk.

a = 7.4657 Å, b = 7.4657 Å, c = 3.9726 Å
α = 90.00°, β = 90.00°, γ = 90.00°
With the nearest neighbours (Å) after each atom.
Positions (direct):
Li  0.0000  0.0000  0.0000  4 Ru 2.92
Li  0.5000  0.5000  0.0000  4 Ru 2.92
La  0.1744  0.3256  0.5000  6 Ru 2.84-3.05
La  0.3256  0.8256  0.5000  6 Ru 2.84-3.05
La  0.6744  0.1744  0.5000  6 Ru 2.84-3.05
La  0.8256  0.6744  0.5000  6 Ru 2.84-3.05
Ru  0.1328  0.6328  0.0000  1 Ru 2.80, 6 La 2.84-3.05, 2 Li 2.92
Ru  0.3672  0.1328  0.0000  1 Ru 2.80, 6 La 2.84-3.05, 2 Li 2.92
Ru  0.6328  0.8672  0.0000  1 Ru 2.80, 6 La 2.84-3.05, 2 Li 2.92
Ru  0.8672  0.3672  0.0000  1 Ru 2.80, 6 La 2.84-3.05, 2 Li 2.92

The calculation puts the density of states at the Fermi level at 0.5085 states/eV per atom. The symmetry is No. 127. The value obtained for the formation energy is -0.040 eV/atom.


The following is a PBE calculation of LiLa3Ru after structural relaxation, from Alexandria via LeMat-Bulk.

a = 6.7794 Å, b = 6.7794 Å, c = 9.0259 Å
α = 90.00°, β = 90.00°, γ = 130.86°
With the nearest neighbours (Å) after each atom.
Positions (direct):
Li  0.2305  0.7695  0.7500  1 Ru 2.84, 2 La 3.17
Li  0.7695  0.2305  0.2500  1 Ru 2.84, 2 La 3.17
La  0.0549  0.9451  0.2500  2 Ru 2.83
La  0.3628  0.6372  0.0517  2 Ru 2.81-2.98
La  0.3628  0.6372  0.4483  2 Ru 2.81-2.98
La  0.6372  0.3628  0.5517  2 Ru 2.81-2.98
La  0.6372  0.3628  0.9483  2 Ru 2.81-2.98
La  0.9451  0.0549  0.7500  2 Ru 2.83
Ru  0.4611  0.5389  0.7500  6 La 2.81-2.98, 1 Li 2.84
Ru  0.5389  0.4611  0.2500  6 La 2.81-2.98, 1 Li 2.84

The calculation puts the density of states at the Fermi level at 0.6064 states/eV per atom. The symmetry is No. 63. Its energy above the most stable polymorph in this dataset is 32.0 meV/atom. The value obtained for the formation energy is -0.134 eV/atom.